No. 1
Compound: Pm6As3PbS2
Source: Alexandria
Functional: PBE
Structure: optimized geometry

mass density = 7.1 g/cm3
total moment = 0.000 μB/atom
formation energy without anion corrections = -1.517 eV/atom

Cell and atoms, written as CIF:
```
data_Pm6As3PbS2
_chemical_formula_sum 'Pm12 As6 Pb2 S4'
_symmetry_space_group_name_H-M 'C 1 2/m 1'
_symmetry_Int_Tables_number 12
_cell_length_a 18.4328
_cell_length_b 4.2075
_cell_length_c 8.5167
_cell_angle_alpha 90.00
_cell_angle_beta 103.11
_cell_angle_gamma 90.00
loop_
_symmetry_equiv_pos_as_xyz
'x,y,z'
'-x,-y,-z'
'-x,y,-z'
'x,-y,z'
'x+1/2,y+1/2,z'
'-x+1/2,-y+1/2,-z'
'-x+1/2,y+1/2,-z'
'x+1/2,-y+1/2,z'
loop_
_atom_site_label
_atom_site_type_symbol
_atom_site_fract_x
_atom_site_fract_y
_atom_site_fract_z
Pm1 Pm 0.0027 0.0000 0.2665
Pm2 Pm 0.1672 0.5000 0.5846
Pm3 Pm 0.1728 0.5000 0.0873
As1 As 0.0000 0.5000 0.5000
As2 As 0.1654 0.0000 0.8309
Pb1 Pb 0.0000 0.5000 0.0000
S1 S 0.1702 0.0000 0.3392
```

No. 2
Compound: KSbI
Source: Alexandria
Functional: PBE
Structure: optimized geometry

mass density = 3.6 g/cm3
total moment = 0.000 μB/atom
formation energy without anion corrections = -0.594 eV/atom

Cell and atoms, written as CIF:
```
data_KSbI
_chemical_formula_sum 'K2 Sb2 I2'
_symmetry_space_group_name_H-M 'P -1'
_symmetry_Int_Tables_number 2
_cell_length_a 6.6096
_cell_length_b 6.6199
_cell_length_c 7.0793
_cell_angle_alpha 89.51
_cell_angle_beta 89.77
_cell_angle_gamma 60.27
loop_
_symmetry_equiv_pos_as_xyz
'x,y,z'
'-x,-y,-z'
loop_
_atom_site_label
_atom_site_type_symbol
_atom_site_fract_x
_atom_site_fract_y
_atom_site_fract_z
K1 K 0.1670 0.1637 0.2209
Sb1 Sb 0.4994 0.5016 0.8198
I1 I 0.1664 0.1679 0.7184
```

No. 3
Compound: Ce2Zn6Pd
Source: Alexandria
Functional: PBE
Structure: optimized geometry

mass density = 7.6 g/cm3
total moment = 0.199 μB/atom
ΔE_f = -0.328 eV/atom

Cell and atoms, written as CIF:
```
data_Ce2Zn6Pd
_chemical_formula_sum 'Ce2 Zn6 Pd1'
_symmetry_space_group_name_H-M 'P -3 m 1'
_symmetry_Int_Tables_number 164
_symmetry_space_group_name_Hall '-P 3 2"'
_cell_length_a 5.8670
_cell_length_b 5.8670
_cell_length_c 5.6995
_cell_angle_alpha 90.00
_cell_angle_beta 90.00
_cell_angle_gamma 120.00
loop_
_atom_site_label
_atom_site_type_symbol
_atom_site_fract_x
_atom_site_fract_y
_atom_site_fract_z
Ce1 Ce 0.3333 0.6667 0.3367
Zn1 Zn 0.1775 0.3551 0.8334
Pd1 Pd 0.0000 0.0000 0.5000
```

Number 1: energy -72.62 eV/f.u.. Number 2: energy -8.55 eV/f.u.. Number 3: energy -27.66 eV/f.u..